PBE-GGA Nd2HoO, relaxed; N(E_F) = 5.02 states/eV/f.u.; DFT total energy = -5.576 eV/atom; spin magnetization = 0.00 μB per atom; V = 96.4 Å³ per cell; energy relative to the lowest polymorph listed for this composition = 308 meV per atom; raw formation energy = -808.6 meV/atom
1.0
3.2583 0.0000 0.0000
0.0000 3.2583 0.0000
0.0000 0.0000 9.0788
Nd Ho O
2 1 1
Cartesian
0.0000 0.0000 1.5607
0.0000 0.0000 7.5181
1.6291 1.6291 4.5394
1.6291 1.6291 0.0000

=====

PBE-GGA NdHoO4, relaxed; N(E_F) = 0.00 states/eV/f.u.; DFT total energy = -7.766 eV/atom; spin magnetization = 0.00 μB per atom; V = 83.0 Å³ per cell; raw formation energy = -2902.7 meV/atom
1.0
3.3407 -1.9621 0.0000
3.3407 1.9621 0.0000
-0.8491 0.0000 6.3300
Nd Ho O
1 1 4
Cartesian
0.0000 0.0000 0.0000
2.2092 0.0000 2.9120
-0.0101 0.0000 2.4334
2.2393 0.0000 0.6319
3.4355 0.0000 4.9852
4.6754 0.0000 4.1267

=====

PBE-GGA NdHoO2, relaxed; N(E_F) = 0.54 states/eV/f.u.; DFT total energy = -7.525 eV/atom; spin magnetization = 0.00 μB per atom; V = 62.0 Å³ per cell; energy relative to the lowest polymorph listed for this composition = 127 meV per atom; raw formation energy = -2709.1 meV/atom
1.0
1.7217 0.9940 6.0425
-1.7217 0.9940 6.0425
0.0000 -1.9881 6.0425
Nd Ho O
1 1 2
Cartesian
0.0000 0.0000 0.0000
0.0000 0.0000 3.2105
0.0000 0.0000 10.4009
0.0000 0.0000 13.9615

=====

PBE-GGA NdHoO3, relaxed; N(E_F) = 0.00 states/eV/f.u.; DFT total energy = -8.238 eV/atom; spin magnetization = 0.00 μB per atom; V = 277.0 Å³ per cell; raw formation energy = -3393.8 meV/atom
1.0
6.1191 0.0000 0.0000
0.0000 3.4154 0.0000
0.0000 0.0000 13.2565
Nd Ho O
4 4 12
Cartesian
1.0973 0.8538 2.5832
1.9622 2.5615 9.2114
4.1569 0.8538 4.0450
5.0218 2.5615 10.6733
1.4646 2.5615 5.9457
1.5950 0.8538 12.5739
4.5242 2.5615 0.6825
4.6545 0.8538 7.3108
0.1847 0.8538 5.2360
0.7886 0.8538 10.4116
0.8543 2.5615 0.7596
2.2053 0.8538 7.3878
2.2710 2.5615 3.7833
2.8748 2.5615 11.8642
3.2443 0.8538 1.3922
3.8481 0.8538 9.4731
3.9138 2.5615 5.8686
5.2649 0.8538 12.4969
5.3306 2.5615 2.8449
5.9344 2.5615 8.0205